# 1
Computed, not measured: TmScPa after structural relaxation at the PBE-GGA level of DFT.

Computed properties:
Magnetic moment   0.000 μB/atom
Crystal system   trigonal
ΔE to the lowest computed polymorph   0.012 eV/atom
E_form   0.081 eV per atom

Unit cell a=3.3290 b=3.3290 c=8.1629 alpha=90.00 beta=90.00 gamma=120.00
Sites, in units of the cell vectors:
Sc  0.6667  0.3333  0.3222
Pa  0.0000  0.0000  0.0058
Tm  0.3333  0.6667  0.6720

# 2
Computed, not measured: TmScPa2 after structural relaxation at the PBE-GGA level of DFT.

Computed properties:
Magnetic moment   0.023 μB/atom
Crystal system   cubic
ΔE to the lowest computed polymorph   0.321 eV/atom
E_form   0.441 eV per atom

Unit cell a=5.2910 b=5.2910 c=5.2923 alpha=60.01 beta=60.01 gamma=60.00
Sites, in units of the cell vectors:
Sc  0.5000  0.5000  0.5000
Pa  0.7501  0.7501  0.7497
Pa  0.2499  0.2499  0.2503
Tm  0.0000  0.0000  0.0000

# 3
Computed, not measured: Tm2ScPa after structural relaxation at the PBE-GGA level of DFT.

Computed properties:
Magnetic moment   0.000 μB/atom
Crystal system   tetragonal
ΔE to the lowest computed polymorph   0.051 eV/atom
E_form   0.174 eV per atom

Unit cell a=4.7627 b=4.7615 c=4.7615 alpha=90.00 beta=90.00 gamma=90.00
Sites, in units of the cell vectors:
Sc  0.5000  0.0000  0.0000
Pa  0.5000  0.5000  0.5000
Tm  0.0000  0.0000  0.5000
Tm  0.0000  0.5000  0.0000

# 4
Computed, not measured: TmScPa after structural relaxation at the PBE-GGA level of DFT.

Computed properties:
Magnetic moment   0.061 μB/atom
Crystal system   tetragonal
ΔE to the lowest computed polymorph   0.053 eV/atom
E_form   0.123 eV per atom

Unit cell a=3.2930 b=3.2930 c=7.6504 alpha=102.43 beta=102.43 gamma=90.00
Site moments in Bohr magnetons follow the coordinates.
Sites, in units of the cell vectors:
Sc  0.6094  0.6094  0.2188  0.00
Pa  0.9534  0.9534  0.9067  0.15
Tm  0.2873  0.2873  0.5745  0.00

# 5
Computed, not measured: TmSc14Pa after structural relaxation at the PBE-GGA level of DFT.

Computed properties:
Magnetic moment   0.000 μB/atom
Crystal system   orthorhombic
E_form   0.031 eV per atom

Unit cell a=6.6255 b=6.6255 c=10.3997 alpha=90.00 beta=90.00 gamma=119.77
Sites, in units of the cell vectors:
Tm  0.3350  0.6650  0.0000
Sc  0.3332  0.6668  0.5000
Sc  0.8335  0.1665  0.5000
Sc  0.8306  0.6662  0.0000
Sc  0.8333  0.6661  0.5000
Sc  0.3338  0.1694  0.0000
Sc  0.3339  0.1667  0.5000
Sc  0.6705  0.8390  0.7469
Sc  0.6705  0.8390  0.2531
Sc  0.1610  0.3295  0.7469
Sc  0.1610  0.3295  0.2531
Sc  0.1654  0.8346  0.7428
Sc  0.1654  0.8346  0.2572
Sc  0.6690  0.3310  0.7506
Sc  0.6690  0.3310  0.2494
Pa  0.8353  0.1647  0.0000

# 6
Computed, not measured: TmScPa after structural relaxation at the PBE-GGA level of DFT.

Computed properties:
Magnetic moment   0.000 μB/atom
Crystal system   trigonal
ΔE to the lowest computed polymorph   0.000 eV/atom
E_form   0.069 eV per atom

Unit cell a=3.3503 b=3.3500 c=16.2481 alpha=90.00 beta=90.00 gamma=60.00
Sites, in units of the cell vectors:
Tm  0.2953  0.6454  0.5419
Tm  0.2954  0.6454  0.0397
Sc  0.6289  0.9783  0.3698
Sc  0.9622  0.3117  0.2117
Pa  0.6286  0.9788  0.7084
Pa  0.9621  0.3120  0.8733

no.,final energy (eV per atom)
1,-6.685
2,-7.008
3,-6.018
4,-6.644
5,-6.382
6,-6.697